1.
Here is a relaxed structure of CrReTc2 from Alexandria. Energies are from PBE-GGA.

Cell lengths 4.2942, 4.2942, 10.6718 Å; angles 90.00, 90.00, 120.00 degrees
Space group R3m (No. 160, hexagonal axes)
One atom of each set of equivalent atoms:
Cr  0.0000  0.0000  0.0000 (multiplicity 3)
Re  0.0000  0.0000  0.7654 (multiplicity 3)
Tc  0.0000  0.0000  0.2685 (multiplicity 3)
Tc  0.0000  0.0000  0.5056 (multiplicity 3)

=====

2.
Here is a relaxed structure of HoZn4Ni4 from Alexandria. Energies are from PBE-GGA.

Cell lengths 7.854, 7.854, 4.233 Å; angles 90.00, 90.00, 90.00 degrees
Space group P4_2/n (No. 86, origin choice 2)
One atom of each set of equivalent atoms:
Ho  0.250  0.250  0.250 (multiplicity 2)
Zn  0.117  0.833  0.748 (multiplicity 8)
Ni  0.032  0.124  0.751 (multiplicity 8)

=====

3.
Here is a relaxed structure of Sc3CdC from Alexandria. Energies are from PBE-GGA.

Cell lengths 6.381, 5.665, 5.555 Å; angles 90.00, 90.25, 90.00 degrees
Space group P2/c (No. 13)
One atom of each set of equivalent atoms:
Sc  0.000  0.195  0.250 (multiplicity 2)
Sc  0.238  0.342  0.751 (multiplicity 4)
Cd  0.500  0.163  0.250 (multiplicity 2)
C  0.000  0.500  0.000 (multiplicity 2)

Summary:
The polymorph energy (0 for the lowest one) is 11.60 kJ per mole of atoms.

=====

4.
Here is a relaxed structure of LaNd2Ag2Hg2 from Alexandria. Energies are from PBE-GGA.

Cell lengths 4.9457, 4.9457, 27.3187 Å; angles 90.00, 90.00, 120.00 degrees
Space group R-3m (No. 166, hexagonal axes)
One atom of each set of equivalent atoms:
La  0.0000  0.0000  0.0000 (multiplicity 3)
Nd  0.0000  0.0000  0.1249 (multiplicity 6)
Ag  0.0000  0.0000  0.4026 (multiplicity 6)
Hg  0.0000  0.0000  0.2589 (multiplicity 6)

=====

5.
Here is a relaxed structure of CaCuW from Alexandria. Energies are from PBE-GGA.

Cell lengths 2.761, 3.757, 11.190 Å; angles 90.00, 90.00, 90.00 degrees
Space group Imm2 (No. 44)
One atom of each set of equivalent atoms:
Ca  0.000  0.000  0.000 (multiplicity 2)
Cu  0.000  0.000  0.692 (multiplicity 2)
W  0.000  0.000  0.290 (multiplicity 2)

Summary:
The polymorph energy (0 for the lowest one) is 6.15 kJ per mole of atoms.

=====

6.
Here is a relaxed structure of Y2ReMo3 from Alexandria. Energies are from PBE-GGA.

Cell lengths 9.503, 5.504, 5.488 Å; angles 90.00, 124.96, 90.00 degrees
Space group C2/m (No. 12)
One atom of each set of equivalent atoms:
Y  0.126  0.000  0.374 (multiplicity 4)
Re  0.000  0.500  0.000 (multiplicity 2)
Mo  0.000  0.500  0.500 (multiplicity 2)
Mo  0.250  0.250  0.000 (multiplicity 4)

=====

7.
Here is a relaxed structure of YTm2Sc8 from Alexandria. Energies are from PBE-GGA.

Cell lengths 8.680, 16.038, 5.474 Å; angles 90.00, 129.03, 90.00 degrees
Space group C2/m (No. 12)
One atom of each set of equivalent atoms:
Y  0.000  0.000  0.000 (multiplicity 2)
Tm  0.000  0.310  0.500 (multiplicity 4)
Sc  0.000  0.203  0.000 (multiplicity 4)
Sc  0.001  0.500  0.743 (multiplicity 4)
Sc  0.226  0.129  0.726 (multiplicity 8)

=====

8.
Here is a relaxed structure of Pm4Sm2Sc3 from Alexandria. Energies are from PBE-GGA.

Cell lengths 11.075, 5.001, 10.497 Å; angles 90.00, 108.15, 90.00 degrees
Space group C2/m (No. 12)
One atom of each set of equivalent atoms:
Pm  0.005  0.000  0.337 (multiplicity 4)
Pm  0.166  0.500  0.887 (multiplicity 4)
Sm  0.169  0.500  0.228 (multiplicity 4)
Sc  0.000  0.000  0.000 (multiplicity 2)
Sc  0.164  0.500  0.551 (multiplicity 4)

=====

no.,E_form (eV per atom),density of states at the Fermi level (states/eV/f.u.)
1,0.179,3.708
2,-0.140,4.383
3,-0.344,5.504
4,-0.279,6.560
5,0.672,2.630
6,-0.001,5.593
7,0.125,16.602
8,0.050,12.890